DFT (GGA-PBE) results for a relaxed structure of Ce2As4PdPt3.

For the formation energy, the calculation gives -871 meV per atom. The value obtained for the mass density is 10.7 g/cm3. The final energy comes out at -6.249 eV/atom. The space group is P-4m2. Its crystal system is tetragonal.

a b c (Å): 4.482 4.482 9.811
angles (deg): 90.00 90.00 90.00
Site moments in Bohr magnetons follow the coordinates.
Sites, in units of the cell vectors:
Ce (0.500, 0.000, 0.251)  0.80
Ce (0.000, 0.500, 0.749)  0.80
As (0.500, 0.500, 0.000)  0.01
As (0.000, 0.000, 0.000)  0.01
As (0.500, 0.000, 0.630)  -0.01
As (0.000, 0.500, 0.370)  -0.01
Pd (0.500, 0.500, 0.500)  -0.02
Pt (0.000, 0.000, 0.500)  -0.03
Pt (0.500, 0.000, 0.881)  0.02
Pt (0.000, 0.500, 0.119)  0.02

DFT (GGA-PBE) results for a relaxed structure of Ce2As4Pd3Rh.

For the formation energy, the calculation gives -836 meV per atom. The value obtained for the mass density is 8.6 g/cm3. The final energy comes out at -6.176 eV/atom. The space group is P-4m2. Its crystal system is tetragonal.

a b c (Å): 4.438 4.438 9.791
angles (deg): 90.00 90.00 90.00
Site moments in Bohr magnetons follow the coordinates.
Sites, in units of the cell vectors:
Ce (0.500, 0.000, 0.250)  0.77
Ce (0.000, 0.500, 0.750)  0.77
As (0.500, 0.500, 0.000)  0.01
As (0.000, 0.000, 0.000)  0.01
As (0.500, 0.000, 0.628)  0.00
As (0.000, 0.500, 0.372)  0.00
Pd (0.000, 0.000, 0.500)  0.00
Pd (0.500, 0.000, 0.878)  0.02
Pd (0.000, 0.500, 0.122)  0.02
Rh (0.500, 0.500, 0.500)  -0.01

DFT (GGA-PBE) results for a relaxed structure of CeAs2PdRh5.

For the formation energy, the calculation gives -405 meV per atom. The value obtained for the mass density is 10.0 g/cm3. The final energy comes out at -6.759 eV/atom. The space group is P4/mmm. Its crystal system is tetragonal.

a b c (Å): 4.102 4.102 9.018
angles (deg): 90.00 90.00 90.00
Sites, in units of the cell vectors:
Ce (0.000, 0.000, 0.500)
As (0.500, 0.500, 0.134)
As (0.500, 0.500, 0.866)
Pd (0.000, 0.000, 0.000)
Rh (0.000, 0.500, 0.270)
Rh (0.500, 0.000, 0.270)
Rh (0.000, 0.500, 0.730)
Rh (0.500, 0.000, 0.730)
Rh (0.500, 0.500, 0.500)

DFT (GGA-PBE) results for a relaxed structure of CeSb2As2Pd7.

The value obtained for the mass density is 8.6 g/cm3. The final energy comes out at -5.439 eV/atom. The space group is C2/m. Its formation energy (no corrections) is -0.453 eV per atom. Its crystal system is monoclinic.

a b c (Å): 4.008 4.008 15.646
angles (deg): 82.61 82.61 90.01
Site moments in Bohr magnetons follow the coordinates.
Sites, in units of the cell vectors:
Ce (0.000, 0.000, 0.000)  0.42
Sb (0.786, 0.786, 0.427)  0.00
Sb (0.214, 0.214, 0.573)  0.00
As (0.621, 0.621, 0.760)  0.00
As (0.379, 0.379, 0.240)  0.00
Pd (0.500, 0.500, 0.000)  0.00
Pd (0.300, 0.300, 0.399)  0.00
Pd (0.700, 0.700, 0.601)  0.00
Pd (0.928, 0.428, 0.143)  0.00
Pd (0.428, 0.928, 0.143)  0.00
Pd (0.572, 0.072, 0.857)  0.00
Pd (0.072, 0.572, 0.857)  0.00

DFT (GGA-PBE) results for a relaxed structure of Ce2ScAs4Pd3.

For the formation energy, the calculation gives -922 meV per atom. The value obtained for the mass density is 7.6 g/cm3. The final energy comes out at -6.159 eV/atom. The space group is P-4m2. Its crystal system is tetragonal.

a b c (Å): 4.427 4.427 10.476
angles (deg): 90.00 90.00 90.00
Site moments in Bohr magnetons follow the coordinates.
Sites, in units of the cell vectors:
Ce (0.500, 0.000, 0.223)  0.90
Ce (0.000, 0.500, 0.777)  0.90
Sc (0.500, 0.500, 0.500)  0.08
As (0.500, 0.500, 0.000)  0.00
As (0.000, 0.000, 0.000)  0.00
As (0.500, 0.000, 0.644)  -0.02
As (0.000, 0.500, 0.356)  -0.02
Pd (0.000, 0.000, 0.500)  -0.02
Pd (0.500, 0.000, 0.881)  0.00
Pd (0.000, 0.500, 0.119)  0.00

DFT (GGA-PBE) results for a relaxed structure of CeSmAs2Pd2.

For the formation energy, the calculation gives -1146 meV per atom. The value obtained for the mass density is 8.5 g/cm3. The final energy comes out at -6.202 eV/atom. The space group is P-3m1. Its crystal system is trigonal.

a b c (Å): 4.364 4.364 7.774
angles (deg): 90.00 90.00 120.00
Site moments in Bohr magnetons follow the coordinates.
Sites, in units of the cell vectors:
Ce (0.000, 0.000, 0.000)  0.84
Sm (0.000, 0.000, 0.500)  0.05
As (0.667, 0.333, 0.751)  -0.01
As (0.333, 0.667, 0.249)  -0.01
Pd (0.667, 0.333, 0.253)  0.00
Pd (0.333, 0.667, 0.747)  0.00

Number 1: volume 197 Å³/cell. Number 2: volume 193 Å³/cell. Number 3: volume 152 Å³/cell. Number 4: volume 247 Å³/cell. Number 5: volume 205 Å³/cell. Number 6: volume 128 Å³/cell.